Density functional theory data (PBE) for a relaxed structure of YGa2Cl.

Values from the calculation:
E above lowest polymorph	0.00	kcal/mol of atoms
calculated volume	27.6	Å³ per atom
crystal system	tetragonal

a = 9.2857 Å, b = 9.2857 Å, c = 7.0462 Å
α = 48.78°, β = 48.78°, γ = 90.00°
With the nearest neighbours (Å) after each atom.
Sites, in units of the cell vectors:
Y1 0.7500 0.2500 0.5000  2 Cl 2.56
Y2 0.0000 0.0000 0.0000  2 Cl 2.56
Ga1 0.8750 0.9156 0.7500  2 Ga 2.67
Ga2 0.0844 0.6250 0.2500  2 Ga 2.67
Ga3 0.3750 0.3344 0.7500  2 Ga 2.67
Ga4 0.6656 0.1250 0.2500  2 Ga 2.67
Cl1 0.2500 0.7500 0.5000  2 Y 2.56
Cl2 0.5000 0.5000 0.0000  2 Y 2.56

Density functional theory data (PBE) for a relaxed structure of Y4GaCl5.

Values from the calculation:
calculated volume	28.0	Å³ per atom
crystal system	monoclinic

a = 3.9725 Å, b = 8.1445 Å, c = 9.0838 Å
α = 102.52°, β = 102.63°, γ = 90.00°
With the nearest neighbours (Å) after each atom.
Sites, in units of the cell vectors:
Y1 0.6562 0.0869 0.3124  1 Ga 2.70, 5 Cl 2.75-2.93
Y2 0.9992 0.7632 0.9984  2 Ga 2.77, 4 Cl 2.87-3.03
Y3 0.3438 0.9131 0.6876  1 Ga 2.70, 5 Cl 2.75-2.93
Y4 0.0008 0.2368 0.0016  2 Ga 2.77, 4 Cl 2.87-3.03
Ga1 0.5000 0.0000 0.0000  6 Y 2.70-2.77
Cl1 0.1668 0.3246 0.3335  3 Y 2.75-2.87
Cl2 0.8256 0.1472 0.6512  4 Y 2.82-3.03
Cl3 0.1744 0.8528 0.3488  4 Y 2.82-3.03
Cl4 0.8332 0.6754 0.6665  3 Y 2.75-2.87
Cl5 0.5000 0.5000 0.0000  4 Y 2.93

Density functional theory data (PBE) for a relaxed structure of YGaCl6.

Values from the calculation:
calculated volume	30.2	Å³ per atom
crystal system	monoclinic

a = 7.0900 Å, b = 7.0900 Å, c = 6.2993 Å
α = 97.43°, β = 97.43°, γ = 127.14°
With the nearest neighbours (Å) after each atom.
Sites, in units of the cell vectors:
Ga1 0.5000 0.5000 0.5000  6 Cl 2.39-2.44
Cl1 0.2579 0.2579 0.7406  1 Ga 2.44, 1 Y 2.62
Cl2 0.8565 0.5889 0.7242  1 Ga 2.39
Cl3 0.5889 0.8565 0.7242  1 Ga 2.39
Cl4 0.7421 0.7421 0.2594  1 Ga 2.44, 1 Y 2.62
Cl5 0.1435 0.4111 0.2758  1 Ga 2.39
Cl6 0.4111 0.1435 0.2758  1 Ga 2.39
Y1 0.0000 0.0000 0.0000  6 Cl 2.62-2.68

Density functional theory data (PBE) for a relaxed structure of YGaCl.

Values from the calculation:
calculated volume	27.2	Å³ per atom
crystal system	monoclinic

a = 4.0097 Å, b = 4.0100 Å, c = 11.9478 Å
α = 90.35°, β = 80.34°, γ = 60.00°
With the nearest neighbours (Å) after each atom.
Sites, in units of the cell vectors:
Ga1 0.6342 0.1839 0.5478  3 Ga 2.57
Ga2 0.3658 0.8161 0.4522  3 Ga 2.57
Cl1 0.2353 0.3761 0.1533  3 Y 2.81
Cl2 0.7647 0.6239 0.8467  3 Y 2.81
Y1 0.1901 0.9088 0.7110  3 Cl 2.81, 4 Ga 3.00-3.03
Y2 0.8099 0.0912 0.2890  3 Cl 2.81, 4 Ga 3.00-3.03

For each record above, in turn, the calculated uncorrected formation energy values are -0.39, -1.62, -1.59, -1.24 eV/atom.
For each record above, in turn, the calculated total moment values are 0.00, 0.00, 0.00, 0.00 μB/atom.